First-principles (PBE-GGA) data for a relaxed CaMgW crystal, as listed in the Alexandria database.

Unit cell a=4.8906 b=4.8906 c=4.8906 alpha=60.00 beta=60.00 gamma=60.00
Last column: nearest neighbours and their distance in Å.
Positions (direct):
Ca: 0.5000 0.5000 0.5000  4 Mg 2.99
W: 0.0000 0.0000 0.0000  4 Mg 2.99
Mg: 0.7500 0.7500 0.7500  4 Ca 2.99, 4 W 2.99

Properties
The energy of formation from the pure elements comes out at 1513 meV per atom. The theoretical density comes out at 4983 kg/m³. Its space group is F-43m. Its crystal system is cubic.



First-principles (PBE-GGA) data for a relaxed CaMgW crystal, as listed in the Alexandria database.

Unit cell a=7.9111 b=7.9111 c=7.9111 alpha=159.00 beta=159.00 gamma=29.87
Last column: nearest neighbours and their distance in Å.
Positions (direct):
Mg: 0.3171 0.3171 0.0000  4 Mg 2.88, 4 W 3.00
Ca: 0.0097 0.0097 0.0000  4 Ca 2.88, 4 W 3.23
W: 0.6732 0.6732 0.0000  4 W 2.88, 4 Mg 3.00, 4 Ca 3.23

Properties
The energy of formation from the pure elements comes out at 606 meV per atom. The theoretical density comes out at 6484 kg/m³. Its space group is I4mm. Its crystal system is tetragonal.



First-principles (PBE-GGA) data for a relaxed CaMg2W crystal, as listed in the Alexandria database.

Unit cell a=5.4442 b=5.4442 c=2.9725 alpha=89.90 beta=89.90 gamma=108.44
Last column: nearest neighbours and their distance in Å.
Positions (direct):
Mg: 0.5000 0.5000 0.0000  4 Mg 2.97-3.18, 4 Ca 3.10, 4 W 3.10
Mg: 0.0000 0.0000 0.0000  4 Mg 2.97-3.18, 4 W 3.10, 4 Ca 3.10
Ca: 0.0000 0.5000 0.5000  2 Ca 2.97, 8 Mg 3.10, 2 W 3.18
W: 0.5000 0.0000 0.5000  2 W 2.97, 8 Mg 3.10, 2 Ca 3.18

Properties
The energy of formation from the pure elements comes out at 608 meV per atom. The theoretical density comes out at 5414 kg/m³. Its space group is C2/m. Its crystal system is monoclinic.



First-principles (PBE-GGA) data for a relaxed CaMg2W crystal, as listed in the Alexandria database.

Unit cell a=5.0412 b=5.0412 c=5.0412 alpha=60.00 beta=60.00 gamma=60.00
Last column: nearest neighbours and their distance in Å.
Positions (direct):
Ca: 0.5000 0.5000 0.5000  4 W 3.09, 4 Mg 3.09
Mg: 0.7500 0.7500 0.7500  4 Mg 3.09, 4 Ca 3.09
Mg: 0.0000 0.0000 0.0000  4 W 3.09, 4 Mg 3.09
W: 0.2500 0.2500 0.2500  4 Ca 3.09, 4 Mg 3.09

Properties
The energy of formation from the pure elements comes out at 791 meV per atom. The theoretical density comes out at 4995 kg/m³. Its space group is F-43m. Its crystal system is cubic.



no.,total energy (eV/atom),energy relative to the lowest polymorph listed for this composition (meV per atom)
1,-4.003,911
2,-4.910,4
3,-3.928,163
4,-3.745,346